Material: Tb4TlTe3
Method: DFT, PBE
State: optimized geometry

offset from the most stable computed form	7	meV/atom
symmetry	Cmmm
calculated total energy	-4.888	eV/atom
energy relative to the elements, uncorrected	-1.099	eV per atom
crystal system	orthorhombic

abc: 4.374 7.624 7.624
angles: 109.18 90.00 90.00
Positions (direct):
Te1 0.500 0.500 0.500
Tb1 0.500 0.757 0.243
Tb2 0.000 0.242 0.242
Te2 0.000 0.000 0.500
Te3 0.000 0.500 0.000
Tb3 0.000 0.758 0.758
Tl1 0.500 0.000 0.000
Tb4 0.500 0.243 0.757